Be3P PBE relaxed; E = -3.938 eV per atom; SG = Pnma (62); formation energy = 0.83 eV/f.u.
1.0
-3.920 -0.595 1.348
-1.806 -0.543 -5.489
1.255 -7.523 0.331
P Be
4 12
direct
0.974 0.153 0.750 P
0.026 0.847 0.250 P
0.526 0.653 0.750 P
0.474 0.347 0.250 P
0.288 0.774 0.999 Be
0.212 0.274 0.501 Be
0.974 0.210 0.250 Be
0.788 0.726 0.001 Be
0.788 0.726 0.499 Be
0.712 0.226 0.499 Be
0.526 0.710 0.250 Be
0.026 0.790 0.750 Be
0.712 0.226 0.001 Be
0.474 0.290 0.750 Be
0.212 0.274 0.999 Be
0.288 0.774 0.501 Be

CeThNp PBE relaxed; E = -8.536 eV per atom; SG = Pnma (62); formation energy = 0.69 eV/f.u.
1.0
3.472 0.000 0.000
0.000 7.860 0.000
0.000 0.000 11.947
Np Ce Th
4 4 4
direct
0.750 0.475 0.934 Np
0.250 0.525 0.066 Np
0.250 0.975 0.566 Np
0.750 0.025 0.434 Np
0.250 0.151 0.936 Ce
0.750 0.849 0.064 Ce
0.250 0.349 0.436 Ce
0.750 0.651 0.564 Ce
0.750 0.279 0.688 Th
0.750 0.221 0.188 Th
0.250 0.721 0.312 Th
0.250 0.779 0.812 Th

CdIrPb2C PBE relaxed; E = -2.927 eV per atom; SG = P4/mmm (123); formation energy = 11.78 eV/f.u.
1.0
5.586 0.000 0.000
0.000 5.018 0.000
0.000 0.000 5.586
Ir Pb Cd C
1 2 1 1
direct
0.000 0.500 0.000 Ir
0.000 0.000 0.500 Pb
0.500 0.000 0.000 Pb
0.000 0.000 0.000 Cd
0.500 0.500 0.500 C

ThHgI PBE relaxed; E = -3.723 eV per atom; formation energy from raw total energies = -0.6320 eV per atom; SG = P-1 (2)
1.0
4.685 -0.172 0.105
-2.197 4.142 0.071
-0.282 -0.438 11.482
Th I Hg
2 2 2
direct
0.997 0.996 0.333 Th
0.003 0.004 0.667 Th
0.329 0.659 0.162 I
0.671 0.341 0.838 I
0.666 0.332 0.456 Hg
0.334 0.668 0.544 Hg

Sm4Tl2In PBE relaxed; E = -4.040 eV per atom; SG = I4/mmm (139); formation energy = -1.94 eV/f.u.
1.0
6.215 -0.038 -2.210
-3.109 5.395 -2.176
-0.022 0.038 6.596
Sm Tl In
4 2 1
direct
0.000 0.500 0.000 Sm
0.500 0.000 0.000 Sm
0.500 0.500 0.500 Sm
0.000 0.000 0.500 Sm
0.500 0.500 0.000 Tl
0.500 0.000 0.500 Tl
0.000 0.000 0.000 In

CsBiH3 PBE relaxed; E = -2.819 eV per atom; SG = Pm-3m (221)
1.0
4.604 0.000 0.000
0.000 4.604 0.000
0.000 0.000 4.604
H Cs Bi
3 1 1
direct
0.000 0.500 0.000 H
0.500 0.000 0.000 H
0.000 0.000 0.500 H
0.500 0.500 0.500 Cs
0.000 0.000 0.000 Bi